# Ti2GeIr PBE optimized geometry
data_Ti2GeIr
_chemical_formula_sum 'Ti2 Ge1 Ir1'
_cell_length_a 3.933
_cell_length_b 3.933
_cell_length_c 3.933
_cell_angle_alpha 90.00
_cell_angle_beta 90.00
_cell_angle_gamma 90.00
_space_group_name_H-M_alt 'P 4/m m m'
_space_group_IT_number 123
_space_group_name_Hall '-P 4 2'
loop_
_atom_site_label
_atom_site_type_symbol
_atom_site_fract_x
_atom_site_fract_y
_atom_site_fract_z
Ti1 Ti 0.000 0.500 0.000
Ge1 Ge 0.000 0.000 0.500
Ir1 Ir 0.500 0.500 0.500
# Total magnetization (μB per formula unit): 0.00
# Energy of formation (eV per atom): -0.635